ZrCo3B2 | GGA-PBEsol | relaxed

Properties
D(E_F), states/eV/cell: 7.92
Offset from the most stable computed form, kcal/mol of atoms: 0.000
SG: R-3m

```
ZrCo3B2
1.0
5.649 0.005 0.006
-0.469 5.630 0.006
-0.469 -0.510 5.606
Co B Zr
9 6 3
direct
0.000 0.000 0.500
0.694 0.196 0.694
0.500 0.000 0.000
0.694 0.694 0.196
0.804 0.306 0.306
0.306 0.306 0.804
0.196 0.694 0.694
0.306 0.804 0.306
0.000 0.500 0.000
0.000 0.625 0.375
0.375 0.000 0.625
0.375 0.625 0.000
0.625 0.375 0.000
0.625 0.000 0.375
0.000 0.375 0.625
0.670 0.670 0.670
0.330 0.330 0.330
0.000 0.000 0.000
```


CrB4 | GGA-PBEsol | relaxed

Properties
D(E_F), states/eV/cell: 0.80
Offset from the most stable computed form, kcal/mol of atoms: 0.000
SG: Pnnm

```
CrB4
1.0
-1.586 0.158 -2.334
2.805 -3.090 -2.115
-3.109 -4.079 1.837
B Cr
8 2
direct
0.000 0.226 0.320
0.000 0.837 0.368
0.500 0.726 0.180
0.500 0.663 0.868
0.500 0.337 0.132
0.000 0.163 0.632
0.000 0.774 0.680
0.500 0.274 0.820
0.500 0.500 0.500
0.000 0.000 0.000
```


CrB4 | GGA-PBEsol | relaxed

Properties
D(E_F), states/eV/cell: 0.40
Offset from the most stable computed form, kcal/mol of atoms: 0.175
SG: Immm

```
CrB4
1.0
-2.481 1.338 -0.229
-2.098 -1.406 -2.935
-2.853 -2.017 1.669
B Cr
4 1
direct
0.658 0.538 0.146
0.658 0.146 0.538
0.342 0.854 0.462
0.342 0.462 0.854
0.000 0.000 0.000
```


Cr2B3 | GGA-PBEsol | relaxed

Properties
D(E_F), states/eV/cell: 6.10
SG: Cmcm

```
Cr2B3
1.0
-0.829 2.191 1.694
0.521 -1.635 2.371
8.903 1.939 -0.618
B Cr
6 4
direct
0.827 0.750 0.654
0.881 0.250 0.762
0.976 0.250 0.953
0.024 0.750 0.047
0.173 0.250 0.346
0.119 0.750 0.238
0.703 0.750 0.406
0.297 0.250 0.594
0.572 0.250 0.143
0.428 0.750 0.857
```


Cr2B | GGA-PBEsol | relaxed

Properties
D(E_F), states/eV/cell: 11.02
SG: Fddd

```
Cr2B
1.0
4.164 0.000 0.000
2.082 3.632 0.000
2.082 0.000 7.211
B Cr
4 8
direct
0.625 0.000 0.749
0.375 0.000 0.251
0.125 0.500 0.751
0.375 0.500 0.249
0.083 0.000 0.835
0.667 0.500 0.665
0.665 0.669 0.000
0.415 0.169 0.500
0.335 0.331 0.000
0.917 0.000 0.165
0.833 0.500 0.335
0.085 0.831 0.500
```


CrB2 | GGA-PBEsol | relaxed

Properties
D(E_F), states/eV/cell: 2.35
SG: P6/mmm

```
CrB2
1.0
2.966 0.000 0.000
-1.483 2.569 0.000
0.000 0.000 2.884
Cr B
1 2
direct
0.000 0.000 0.000
0.667 0.333 0.500
0.333 0.667 0.500
```


Cr5B3 | GGA-PBEsol | relaxed

Properties
D(E_F), states/eV/cell: 11.31
SG: I4/mcm

```
Cr5B3
1.0
-2.288 4.180 2.496
-2.033 -3.327 3.707
6.200 0.151 -0.367
Cr B
10 6
direct
0.024 0.524 0.707
0.317 0.817 0.293
0.976 0.476 0.293
0.524 0.683 0.707
0.000 0.000 0.000
0.817 0.976 0.293
0.683 0.183 0.707
0.183 0.024 0.707
0.476 0.317 0.293
0.500 0.500 0.000
0.750 0.750 0.500
0.619 0.119 0.000
0.381 0.881 0.000
0.881 0.619 0.000
0.250 0.250 0.500
0.119 0.381 0.000
```


Cr2B | GGA-PBEsol | relaxed

Properties
D(E_F), states/eV/cell: 5.35
SG: I4/mcm

```
Cr2B
1.0
4.166 -0.003 0.000
-2.021 3.643 0.000
-1.073 -1.820 3.591
Cr B
4 2
direct
0.665 0.165 0.830
0.835 0.665 0.500
0.165 0.335 0.500
0.335 0.835 0.170
0.750 0.750 0.000
0.250 0.250 0.000
```


| no. | ΔE_f (meV per atom) | final energy (eV per atom) |
| --- | --- | --- |
| 1 | -659 | -8.382 |
| 2 | -372 | -8.033 |
| 3 | -364 | -8.026 |
| 4 | -496 | -8.802 |
| 5 | -428 | -9.595 |
| 6 | -389 | -8.480 |
| 7 | -475 | -9.507 |
| 8 | -427 | -9.594 |